No. 1
The following is a PBE calculation of a relaxed CeCu2AsP crystal, from Alexandria via LeMat-Bulk.

Its total energy is -5.3032 eV per atom. The calculated formation energy is -466 meV/atom.

The space group is I4cm (No. 108) and the conventional cell measures 5.678, 5.678 and 12.869 Å, with angles of 90.00, 90.00 and 90.00 degrees. Symmetry generates all atoms from Ce at (0.000, 0.000, 0.000), Cu at (0.176, 0.324, 0.183), As at (0.000, 0.000, 0.275) and P at (0.000, 0.500, 0.038).

No. 2
The following is a PBE calculation of a relaxed MgSc2As2 crystal, from Alexandria via LeMat-Bulk.

Its total energy is -5.7142 eV per atom. The calculated formation energy is -1003 meV/atom.

The space group is P4/mbm (No. 127) and the conventional cell measures 7.315, 7.315 and 3.666 Å, with angles of 90.00, 90.00 and 90.00 degrees. Symmetry generates all atoms from Mg at (0.000, 0.000, 0.000), Sc at (0.153, 0.347, 0.500) and As at (0.152, 0.652, 0.000).

> What is the formula in the first record?

CeCu2AsP